Version 1
DFT (PBE) results for crystalline Pr4Ag3 at its relaxed geometry.

Calculated values
Symmetry ... R-3, No. 148
N(E_F) ... 16.24 states/eV/cell
Size of the total moment ... 0.0 μB per formula unit

```
Pr4Ag3
1.0
7.165 4.136 2.211
-7.165 4.136 2.211
0.000 -8.273 2.211
Pr Ag
8 6
Cartesian
0.000 0.000 0.000 Pr
-3.947 -3.504 3.267 Pr
-5.008 1.666 3.366 Pr
1.061 -5.170 3.366 Pr
0.000 0.000 3.316 Pr
-1.061 5.170 3.267 Pr
5.008 -1.666 3.267 Pr
3.947 3.504 3.366 Pr
-0.949 -2.856 2.054 Ag
-1.999 2.250 2.054 Ag
-2.948 -0.606 4.578 Ag
2.948 0.606 2.054 Ag
1.999 -2.250 4.578 Ag
0.949 2.856 4.578 Ag
```


Version 2
DFT (PBE) results for crystalline Pr4Ag3 at its relaxed geometry.

Calculated values
Symmetry ... R-3m, No. 166
N(E_F) ... 9.41 states/eV/cell
Size of the total moment ... 1.2 μB per formula unit

```
Pr4Ag3
1.0
2.653 1.531 8.570
-2.653 1.531 8.570
0.000 -3.063 8.570
Pr Ag
4 3
Cartesian
0.000 0.000 3.139 Pr
0.000 0.000 9.588 Pr
0.000 0.000 16.123 Pr
0.000 0.000 22.572 Pr
0.000 0.000 6.403 Ag
0.000 0.000 12.855 Ag
0.000 0.000 19.308 Ag
```


Which of them is the most stable? Correct choice: version 1.